Compound: Cu3Ag2Au8
Source: Alexandria via LeMat-Bulk
Functional: PBE
Structure: relaxed

* DOS(E_F): 0.30 states/eV/atom
* formation enthalpy at 0 K: 0.13 eV/atom
* volume: 237 Å³/cell
* final energy: -42.566 eV/cell
* SG: C2/m (12)
* distance to the lowest polymorph of the same formula: 63 meV per atom

Geometry as POSCAR:
```
Cu3Ag2Au8
1.0
-1.6448 0.0678 5.1530
-1.7910 -7.1373 -0.4777
6.7171 2.0628 0.9120
Cu Ag Au
3 2 8
Cartesian
-0.8224 0.0339 2.5765 Cu
-0.3028 -1.2066 -0.0808 Cu
-1.4883 -5.9308 -0.3970 Cu
1.8523 -0.5619 1.4500 Ag
1.4290 -4.4449 4.1372 Ag
-1.2674 -3.7935 4.5139 Au
4.5487 -1.2133 1.0733 Au
1.1736 -0.5698 4.1127 Au
2.1077 -4.4370 1.4745 Au
3.2695 -2.4902 3.3515 Au
3.9490 0.2180 3.5328 Au
-0.6677 -5.2247 2.0544 Au
0.0118 -2.5166 2.2357 Au
```